1.
! CsCd6As4 GGA-PBE relaxed; values from VASP
&SYSTEM
  ibrav = 0, nat = 11, ntyp = 3
/
ATOMIC_SPECIES
Cd 112.41 Cd.upf
As 74.92 As.upf
Cs 132.91 Cs.upf
CELL_PARAMETERS angstrom
-3.430 -3.038 -1.217
0.925 -2.591 3.861
-7.867 10.238 5.844
ATOMIC_POSITIONS angstrom
Cd -6.275 2.192 2.974
Cd -1.922 0.646 3.805
As -3.543 2.884 2.784
Cd -4.100 0.422 1.265
As -6.829 1.724 5.704
Cs 0.000 0.000 0.000
As -7.680 6.252 6.035
Cd -8.450 3.963 4.683
As -2.692 -1.643 2.453
Cd -4.097 2.416 5.514
Cd -6.272 4.186 7.223
! * symmetry: I4/mmm (139)
! * theoretical density: 5.94 g/cm³
! * formation energy from the elements: -0.1760 eV per atom

---

2.
! PuNbCu4 GGA-PBE relaxed; values from VASP
&SYSTEM
  ibrav = 0, nat = 6, ntyp = 3
/
ATOMIC_SPECIES
Cu 63.55 Cu.upf
Nb 92.91 Nb.upf
Pu 244.00 Pu.upf
CELL_PARAMETERS angstrom
-3.004 0.166 -4.060
0.312 -3.609 -3.523
-3.740 -3.359 -0.514
ATOMIC_POSITIONS angstrom
Cu -2.160 -2.579 -4.797
Nb -1.608 -1.700 -2.024
Cu -4.167 -2.455 -3.306
Cu -2.524 -4.326 -3.040
Pu 0.000 0.000 0.000
Cu -4.013 -4.243 -5.052
! * symmetry: F-43m (216)
! * theoretical density: 10.76 g/cm³
! * formation energy from the elements: 0.1283 eV per atom

---

3.
! PaPb2O4 GGA-PBE relaxed; values from VASP
&SYSTEM
  ibrav = 0, nat = 7, ntyp = 3
/
ATOMIC_SPECIES
O 16.00 O.upf
Pb 207.20 Pb.upf
Pa 231.04 Pa.upf
CELL_PARAMETERS angstrom
-3.827 0.496 0.058
-0.381 -3.190 2.132
1.099 7.825 5.577
ATOMIC_POSITIONS angstrom
O -1.112 5.779 5.596
Pb -1.682 1.761 2.319
O 0.107 0.702 1.073
O -1.997 -0.648 2.171
O 0.611 3.933 6.636
Pa -0.190 -1.595 1.066
Pb -1.426 3.370 5.448
! * symmetry: P2/m (10)
! * theoretical density: 8.78 g/cm³
! * energy relative to the elements, uncorrected: -2.182 eV per atom

---

4.
! Pr3NdSc2Te6 GGA-PBE relaxed; values from VASP
&SYSTEM
  ibrav = 0, nat = 12, ntyp = 4
/
ATOMIC_SPECIES
Te 127.60 Te.upf
Sc 44.96 Sc.upf
Nd 144.24 Nd.upf
Pr 140.91 Pr.upf
CELL_PARAMETERS angstrom
4.364 0.000 0.000
0.000 8.904 0.267
-2.182 -2.619 9.278
ATOMIC_POSITIONS angstrom
Te 0.000 2.204 0.268
Sc 2.182 4.214 6.389
Te 0.000 2.141 6.166
Nd 2.182 0.000 0.000
Te 2.182 0.025 3.191
Pr 0.000 6.555 3.157
Sc 0.000 2.071 3.156
Te 0.000 6.260 6.355
Te 2.182 4.081 9.277
Te 2.182 4.144 3.379
Pr 2.182 4.452 0.133
Pr 2.182 -0.270 6.388
! * symmetry: C2/m (12)
! * theoretical density: 6.50 g/cm³
! * energy relative to the elements, uncorrected: -1.311 eV per atom